This record from Alexandria describes crystalline KCa2Co at its relaxed geometry. The functional is PBE.

Calculated values
calculated density: 1.98 g/cm3
calculated total energy: -2.630 eV per atom
ΔH_f (0 K): 0.42 eV per atom

a = 3.8651 Å, b = 9.4132 Å, c = 9.4132 Å
α = 25.88°, β = 90.00°, γ = 90.00°
Last column: nearest neighbours and their distance in Å.
Element x y z (fractional)
K: 0.0000 0.0000 0.0000  2 Co 3.58, 2 K 3.87, 2 Ca 3.93
Ca: 0.0000 0.6805 0.6805  4 Co 2.88
Ca: 0.5000 0.3131 0.3131  1 Co 2.73
Co: 0.5000 0.1641 0.1641  5 Ca 2.73-2.88